No. 1
First-principles (PBE) data for a relaxed U4Ga6Rh7 crystal, as listed in the Alexandria database.

a = 7.2785 Å, b = 7.2785 Å, c = 7.2785 Å
α = 109.47°, β = 109.47°, γ = 109.47°
Closest atoms and distances in Å follow each position.
Sites, in units of the cell vectors:
U 0.5000 0.0000 0.0000  6 Rh 2.97, 6 Ga 3.02
U 0.5000 0.5000 0.5000  6 Rh 2.97, 6 Ga 3.02
U 0.0000 0.5000 0.0000  6 Rh 2.97, 6 Ga 3.02
U 0.0000 0.0000 0.5000  6 Rh 2.97, 6 Ga 3.02
Ga 0.6888 0.0000 0.6888  5 Rh 2.62-2.63
Ga 0.6888 0.6888 0.0000  5 Rh 2.62-2.63
Ga 0.0000 0.3112 0.3112  5 Rh 2.62-2.63
Ga 0.3112 0.0000 0.3112  5 Rh 2.62-2.63
Ga 0.3112 0.3112 0.0000  5 Rh 2.62-2.63
Ga 0.0000 0.6888 0.6888  5 Rh 2.62-2.63
Rh 0.7500 0.5000 0.2500  4 Ga 2.63
Rh 0.2500 0.7500 0.5000  4 Ga 2.63
Rh 0.5000 0.7500 0.2500  4 Ga 2.63
Rh 0.7500 0.2500 0.5000  4 Ga 2.63
Rh 0.2500 0.5000 0.7500  4 Ga 2.63
Rh 0.5000 0.2500 0.7500  4 Ga 2.63
Rh 0.0000 0.0000 0.0000  6 Ga 2.62

**Space group**: Im-3m, No. 229
**Formation energy from the elements**: -0.522 eV per atom
**DOS at the Fermi energy**: 1.77 states/eV/atom

***

No. 2
First-principles (PBE) data for a relaxed Na2Mg crystal, as listed in the Alexandria database.

a = 5.6594 Å, b = 5.6637 Å, c = 3.2688 Å
α = 89.89°, β = 90.02°, γ = 119.97°
Closest atoms and distances in Å follow each position.
Sites, in units of the cell vectors:
Mg 0.0000 0.0000 0.0000  2 Mg 3.27, 6 Na 3.51
Na 0.6666 0.3333 0.3915  5 Na 3.27-3.35, 3 Mg 3.51
Na 0.3334 0.6667 0.6085  5 Na 3.27-3.35, 3 Mg 3.51

**Space group**: C2/m, No. 12
**Formation energy from the elements**: 0.088 eV per atom
**DOS at the Fermi energy**: 0.25 states/eV/atom

***

No. 3
First-principles (PBE) data for a relaxed AgHPdRh2 crystal, as listed in the Alexandria database.

a = 3.9455 Å, b = 3.9455 Å, c = 4.0920 Å
α = 90.00°, β = 90.00°, γ = 90.00°
Closest atoms and distances in Å follow each position.
Sites, in units of the cell vectors:
H 0.0000 0.0000 0.0000  4 Rh 1.97, 2 Pd 2.05
Rh 0.0000 0.5000 0.0000  2 H 1.97
Rh 0.5000 0.0000 0.0000  2 H 1.97
Pd 0.0000 0.0000 0.5000  2 H 2.05
Ag 0.5000 0.5000 0.5000  4 Pd 2.79, 8 Rh 2.84

**Space group**: P4/mmm, No. 123
**Polymorph energy (0 for the lowest one)**: 0.00 eV/f.u.
**DOS at the Fermi energy**: 1.22 states/eV/atom

***

Which of these has the lowest DOS at the Fermi energy? Na2Mg

***

The lowest DOS at the Fermi energy belongs to which entry? Na2Mg

***

What is the formula in the third record? AgHPdRh2